# 1
A geometry-optimized Cr2HgS4 structure, computed with PBE.

Summary:
raw formation energy: -0.465 eV/atom
energy above the most stable polymorph in this dataset: 99 meV/atom

Geometry as POSCAR:
```
Cr2HgS4
1.0
6.990 0.000 0.000
0.000 13.442 0.000
0.000 0.000 6.035
Cr Hg S
8 4 16
Direct
0.000 0.000 0.000
0.000 0.500 0.000
0.250 0.006 0.498
0.250 0.494 0.498
0.500 0.000 0.000
0.500 0.500 0.000
0.750 0.506 0.502
0.750 0.994 0.502
0.250 0.250 0.867
0.250 0.750 0.553
0.750 0.250 0.447
0.750 0.750 0.133
0.001 0.100 0.668
0.001 0.400 0.668
0.250 0.096 0.157
0.250 0.404 0.157
0.250 0.593 0.827
0.250 0.907 0.827
0.499 0.100 0.668
0.499 0.400 0.668
0.501 0.600 0.332
0.501 0.900 0.332
0.750 0.093 0.173
0.750 0.407 0.173
0.750 0.596 0.843
0.750 0.904 0.843
0.999 0.600 0.332
0.999 0.900 0.332
```

# 2
A geometry-optimized TiCdBi2 structure, computed with PBE.

Summary:
formation enthalpy at 0 K: 0.512 eV per formula unit

Geometry as POSCAR:
```
TiCdBi2
1.0
2.192 1.266 6.730
-2.192 1.266 6.730
0.000 -2.531 6.730
Ti Cd Bi
1 1 2
Direct
0.000 0.000 0.000
0.838 0.838 0.838
0.410 0.410 0.410
0.598 0.598 0.598
```